# Tb2MgZn12Ni3 (PBE, optimized geometry)
# DFT total energy = -2.218 eV per atom
# density of states at the Fermi level = 0.468 states/eV per atom
# formation energy = 0.1982 eV per atom
data_Tb2MgZn12Ni3
_symmetry_space_group_name_H-M 'R -3 m'
_symmetry_Int_Tables_number 166
_symmetry_space_group_name_Hall '-R 3 2"'
_cell_length_a 8.5759
_cell_length_b 8.5759
_cell_length_c 17.1960
_cell_angle_alpha 90.00
_cell_angle_beta 90.00
_cell_angle_gamma 120.00
loop_
_atom_site_label
_atom_site_type_symbol
_atom_site_fract_x
_atom_site_fract_y
_atom_site_fract_z
Tb1 Tb 0.0000 0.0000 0.0938
Mg1 Mg 0.0000 0.0000 0.5000
Zn1 Zn 0.0261 0.5130 0.8648
Zn2 Zn 0.0354 0.5177 0.3105
Ni1 Ni 0.0000 0.5000 0.0000